## Rb4Pr3SbO8 (PBE)

Data for a geometry-optimized Rb4Pr3SbO8 structure. Values from VASP.

Structure (Quantum ESPRESSO input):
```
&SYSTEM
  ibrav = 0, nat = 16, ntyp = 4
/
ATOMIC_SPECIES
O 16.00 O.upf
Rb 85.47 Rb.upf
Pr 140.91 Pr.upf
Sb 121.76 Sb.upf
ATOMIC_POSITIONS angstrom
O 3.670 3.682 2.596
Rb 1.835 -1.831 2.598
Pr -1.835 2.090 2.769
Rb 3.670 0.000 0.000
O 0.000 0.497 2.943
O 0.000 3.704 2.581
O 5.526 2.328 0.330
O 1.856 1.852 5.209
Pr 1.835 2.090 2.769
Rb -1.835 -1.831 2.598
Rb 0.000 0.000 0.000
Pr 3.670 3.921 0.171
O 3.670 0.476 2.958
O 1.814 2.328 0.330
O -1.856 1.852 5.209
Sb 0.000 3.921 0.171
CELL_PARAMETERS angstrom
7.340 0.000 0.000
0.000 7.841 0.343
-3.670 -3.662 5.196
```

Output
* symmetry: R-3m
* formation energy (no corrections): -2.19 eV/atom



## ReAgH2Ru (PBE)

Data for a geometry-optimized ReAgH2Ru structure. Values from VASP.

Structure (Quantum ESPRESSO input):
```
&SYSTEM
  ibrav = 0, nat = 5, ntyp = 4
/
ATOMIC_SPECIES
Re 186.21 Re.upf
Ag 107.87 Ag.upf
Ru 101.07 Ru.upf
H 1.01 H.upf
ATOMIC_POSITIONS angstrom
Re 0.000 0.000 0.000
Ag -0.660 -2.456 -0.602
Ru 0.553 -3.294 1.486
H -0.471 -0.295 1.720
H 1.684 -0.543 0.369
CELL_PARAMETERS angstrom
-0.943 -0.590 3.439
-1.319 -4.912 -1.205
3.368 -1.085 0.737
```

Output
* symmetry: P4/mmm
* total energy: -4.85 eV per atom



## Si2AgTe (PBE)

Data for a geometry-optimized Si2AgTe structure. Values from VASP.

Structure (Quantum ESPRESSO input):
```
&SYSTEM
  ibrav = 0, nat = 4, ntyp = 3
/
ATOMIC_SPECIES
Ag 107.87 Ag.upf
Te 127.60 Te.upf
Si 28.09 Si.upf
ATOMIC_POSITIONS angstrom
Ag 2.098 1.100 1.427
Te 4.045 2.121 3.368
Si 5.240 2.748 6.410
Si 1.066 0.559 5.384
CELL_PARAMETERS angstrom
3.960 -0.065 0.081
2.198 3.294 0.081
1.285 0.674 6.538
```

Output
* symmetry: Cm
* formation energy (no corrections): 0.27 eV/atom



## Ag12Au17 (PBE)

Data for a geometry-optimized Ag12Au17 structure. Values from VASP.

Structure (Quantum ESPRESSO input):
```
&SYSTEM
  ibrav = 0, nat = 29, ntyp = 2
/
ATOMIC_SPECIES
Au 196.97 Au.upf
Ag 107.87 Ag.upf
ATOMIC_POSITIONS angstrom
Au 2.923 0.000 0.000
Au 0.321 4.309 3.012
Au 4.240 -1.285 2.226
Au -0.974 2.756 0.000
Au 1.971 2.788 4.829
Ag -4.201 1.780 5.833
Ag -1.255 5.946 1.383
Ag 1.691 -0.005 2.758
Ag 5.324 -2.574 4.458
Au 4.240 2.570 0.000
Au 3.267 4.620 1.978
Ag 3.078 -3.367 5.833
Au 3.956 1.739 3.012
Au -1.651 2.881 4.990
Au 3.267 -0.597 4.990
Au 0.000 0.000 0.000
Ag 1.691 2.391 1.375
Au -2.625 0.143 4.204
Ag 6.024 0.798 1.383
Ag 5.324 5.147 0.000
Au -0.974 -1.378 2.387
Ag -4.201 4.161 4.458
Au 0.321 0.454 5.238
Au 1.010 -2.427 4.204
Ag -1.255 -1.775 5.841
Au -2.625 3.569 2.226
Au 1.010 4.854 0.000
Ag 3.078 6.735 0.000
Ag -0.568 1.592 2.758
CELL_PARAMETERS angstrom
8.837 0.000 0.000
-2.946 8.332 0.000
-2.946 -4.166 7.216
```

Output
* symmetry: I-43m
* ΔH_f (0 K): 0.0504 eV/atom



## K2HfZrSb (PBE)

Data for a geometry-optimized K2HfZrSb structure. Values from VASP.

Structure (Quantum ESPRESSO input):
```
&SYSTEM
  ibrav = 0, nat = 5, ntyp = 4
/
ATOMIC_SPECIES
Zr 91.22 Zr.upf
Sb 121.76 Sb.upf
Hf 178.49 Hf.upf
K 39.10 K.upf
ATOMIC_POSITIONS angstrom
Zr -1.228 -2.014 -1.494
Sb 0.000 0.000 0.000
Hf -0.934 -4.736 1.934
K -1.818 -0.686 2.419
K 2.112 -2.036 1.009
CELL_PARAMETERS angstrom
-3.635 -1.371 4.838
-2.457 -4.029 -2.988
4.223 -4.073 2.019
```

Output
* symmetry: P4/mmm
* formation energy (no corrections): 1.17 eV/atom



## NaDy4ErS8 (PBE)

Data for a geometry-optimized NaDy4ErS8 structure. Values from VASP.

Structure (Quantum ESPRESSO input):
```
&SYSTEM
  ibrav = 0, nat = 14, ntyp = 4
/
ATOMIC_SPECIES
S 32.06 S.upf
Dy 162.50 Dy.upf
Na 22.99 Na.upf
Er 167.26 Er.upf
ATOMIC_POSITIONS angstrom
S 4.047 2.337 1.862
S 8.094 2.176 1.687
Dy 2.096 1.210 3.321
Dy 4.047 4.590 3.321
S 12.142 7.010 4.780
Dy 8.094 4.673 0.828
Na 8.094 4.673 5.751
S 10.304 3.398 4.878
S 10.257 5.922 1.687
S 5.885 3.398 4.878
S 5.932 5.922 1.687
S 8.094 7.225 4.878
Dy 5.999 1.210 3.321
Er 4.047 2.337 6.493
CELL_PARAMETERS angstrom
8.094 0.000 0.000
4.047 7.010 0.000
4.047 2.337 6.583
```

Output
* symmetry: R3m
* formation energy (no corrections): -1.96 eV/atom



## InHNO2 (PBE)

Data for a geometry-optimized InHNO2 structure. Values from VASP.

Structure (Quantum ESPRESSO input):
```
&SYSTEM
  ibrav = 0, nat = 5, ntyp = 4
/
ATOMIC_SPECIES
In 114.82 In.upf
O 16.00 O.upf
H 1.01 H.upf
N 14.01 N.upf
ATOMIC_POSITIONS angstrom
In 0.000 0.000 0.000
O 0.000 2.146 0.000
H 2.146 2.146 2.136
O 2.146 0.000 0.000
N 0.000 0.000 2.136
CELL_PARAMETERS angstrom
4.292 0.000 0.000
0.000 4.292 0.000
0.000 0.000 4.271
```

Output
* symmetry: P4/mmm
* total energy: -3.69 eV per atom



## MnGeSb2 (PBE)

Data for a geometry-optimized MnGeSb2 structure. Values from VASP.

Structure (Quantum ESPRESSO input):
```
&SYSTEM
  ibrav = 0, nat = 8, ntyp = 3
/
ATOMIC_SPECIES
Sb 121.76 Sb.upf
Mn 54.94 Mn.upf
Ge 72.64 Ge.upf
ATOMIC_POSITIONS angstrom
Sb -3.169 -3.947 -1.172
Sb -1.738 -3.890 3.011
Sb -5.837 -5.308 2.122
Mn -3.677 -5.643 3.724
Sb -6.854 -9.591 2.529
Ge 0.000 0.000 0.000
Ge -5.122 -5.725 -0.479
Mn -1.015 -4.307 0.433
CELL_PARAMETERS angstrom
-2.459 -4.389 -3.771
0.429 -4.225 4.637
-6.769 -2.755 2.380
```

Output
* symmetry: I-42d
* formation energy (no corrections): 0.23 eV/atom